{"formula": "EuDyPuTl", "functional": "PBE", "state": "relaxed", "lattice_angstrom": [[5.516, 0.000, 0.000], [2.758, 4.777, 0.000], [2.758, 1.592, 4.503]], "species": ["Pu", "Dy", "Tl", "Eu"], "frac_coords": [[0.500, 0.500, 0.500], [0.250, 0.250, 0.250], [0.000, 0.000, 0.000], [0.750, 0.750, 0.750]], "delta_e_f_ev_per_atom": 0.05}

{"formula": "RbEu2Dy", "functional": "PBE", "state": "relaxed", "lattice_angstrom": [[3.860, 0.000, 0.000], [1.930, 3.342, 0.000], [1.930, 1.114, 14.046]], "species": ["Dy", "Rb", "Eu", "Eu"], "frac_coords": [[0.500, 0.500, 0.500], [0.000, 0.000, 0.000], [0.904, 0.904, 0.289], [0.096, 0.096, 0.711]], "delta_e_f_ev_per_atom": 0.22}